Crystalline PRhSe at its relaxed geometry. Source: the Alexandria database, functional PBE.

abc: 4.2002 4.2002 4.2002
angles: 60.00 60.00 60.00
Closest atoms and distances in Å follow each position.
Positions (direct):
P  0.0000  0.0000  0.0000  4 Rh 2.57
Rh  0.2500  0.2500  0.2500  4 Se 2.57, 4 P 2.57
Se  0.5000  0.5000  0.5000  4 Rh 2.57

Results
Its space group is F-43m. Its energy relative to the elements, uncorrected is -0.21 eV/atom. The total energy is -0.2066 Ha/atom.